8
Lattice="-1.179 3.982 -0.947 -1.841 0.363 3.824 5.264 -0.665 0.227" Properties=species:S:1:pos:R:3 comment="LiAlCr2O4, relaxed, DFT PBE with a Hubbard U" e_tot_ev_per_atom=-7.017 spacegroup=I-4m2 dos_at_fermi_per_ev_atom=0.123 pbc="T T T"
Li -1.510 2.172 1.438
Al 1.287 2.745 0.359
Cr 0.956 0.935 2.744
Cr 0.000 0.000 0.000
O 2.847 3.371 1.051
O -0.273 2.118 -0.333
O 0.438 2.955 2.302
O 1.805 0.725 0.801